## ScSiW2 (meta-GGA SCAN)

Data for ScSiW2 at its PBEsol-relaxed geometry.

```
ScSiW2
1.0
4.647 -1.657 0.000
4.647 1.657 0.000
-1.734 0.000 4.122
Sc Si W
1 1 2
direct
0.000 0.000 0.000 Sc
0.234 0.234 0.718 Si
0.492 0.492 0.507 W
0.761 0.761 0.253 W
```

- energy relative to the lowest polymorph listed for this composition (meV/atom) = 0.0
- total moment (Bohr magnetons per cell) = 0.0
- N(E_F) (states/eV/f.u.) = 2.18
- mass density (Mg/m³) = 11.530
- uncorrected energy (eV/cell) = -163.33